This record from Alexandria via LeMat-Bulk describes a geometry-optimized Th2Cu3Ni structure. The functional is PBE.

Unit cell a=8.589 b=8.239 c=5.627 alpha=73.86 beta=67.14 gamma=39.00
Element x y z (fractional)
Th 0.246 0.754 0.754
Th 0.250 0.250 0.250
Th 0.750 0.750 0.750
Th 0.754 0.246 0.246
Cu 0.168 0.665 0.335
Cu 0.333 0.333 0.667
Cu 0.335 0.832 0.168
Cu 0.665 0.168 0.832
Cu 0.667 0.667 0.333
Cu 0.832 0.335 0.665
Ni 0.165 0.165 0.835
Ni 0.835 0.835 0.165

* total moment: 0.00 μB per formula unit
* electronic total energy: -69.0 eV per cell
* N(E_F): 4.0 states/eV/f.u.
* density: 10269 kg/m³